{
  "formula": "FeCu2SiS4",
  "functional": "PBE-GGA",
  "state": "relaxed",
  "e_tot_ev_per_atom": -5.2363,
  "lattice": [[-4.525, 2.321, 3.420], [-4.002, -0.489, -4.963], [-1.857, -6.815, 2.169]],
  "species": ["Cu", "Cu", "Cu", "Cu", "S", "S", "S", "S", "S", "S", "S", "S", "Fe", "Fe", "Si", "Si"],
  "frac_coords": [[0.991, 0.675, 0.247], [0.491, 0.325, 0.747], [0.991, 0.675, 0.753], [0.491, 0.325, 0.253], [0.616, 0.667, 0.260], [0.624, 0.145, 0.500], [0.124, 0.855, 0.000], [0.116, 0.333, 0.760], [0.147, 0.824, 0.500], [0.116, 0.333, 0.240], [0.647, 0.176, 0.000], [0.616, 0.667, 0.740], [0.004, 0.154, 0.500], [0.504, 0.846, 0.000], [0.501, 0.829, 0.500], [0.001, 0.171, 0.000]]
}

{
  "formula": "FeCu2SnS4",
  "functional": "PBE-GGA",
  "state": "relaxed",
  "relative_energy_mev_per_atom": 0,
  "e_tot_ev_per_atom": -4.9803,
  "lattice": [[5.471, 0.227, 0.000], [-0.228, 5.471, 0.000], [-2.621, -2.849, 5.351]],
  "species": ["S", "S", "S", "S", "Sn", "Fe", "Cu", "Cu"],
  "frac_coords": [[0.400, 0.865, 0.265], [0.601, 0.601, 0.735], [0.865, 0.400, 0.265], [0.135, 0.135, 0.735], [0.000, 0.000, 0.000], [0.500, 0.500, 0.000], [0.750, 0.250, 0.500], [0.250, 0.750, 0.500]]
}

{
  "formula": "FeCu2SnS4",
  "functional": "PBE-GGA",
  "state": "relaxed",
  "relative_energy_mev_per_atom": 4,
  "e_tot_ev_per_atom": -4.9760,
  "lattice": [[-5.171, 1.295, -1.221], [-0.819, -5.063, -1.898], [-1.552, -1.584, 4.893]],
  "species": ["Cu", "Cu", "Sn", "S", "S", "S", "S", "Fe"],
  "frac_coords": [[0.000, 0.500, 0.500], [0.500, 0.000, 0.500], [0.000, 0.000, 0.000], [0.265, 0.735, 0.736], [0.735, 0.265, 0.736], [0.265, 0.265, 0.264], [0.735, 0.735, 0.264], [0.500, 0.500, 0.000]]
}

{
  "formula": "FeCu2Sn3S8",
  "functional": "PBE-GGA",
  "state": "relaxed",
  "e_tot_ev_per_atom": -4.7883,
  "lattice": [[-6.258, 3.683, 0.902], [-5.490, -0.885, -4.755], [-6.073, -3.539, 2.033]],
  "species": ["S", "S", "S", "S", "S", "S", "S", "S", "Sn", "Sn", "Sn", "Cu", "Cu", "Fe"],
  "frac_coords": [[0.227, 0.227, 0.774], [0.773, 0.773, 0.226], [0.774, 0.227, 0.227], [0.227, 0.774, 0.227], [0.773, 0.226, 0.773], [0.226, 0.773, 0.773], [0.252, 0.252, 0.252], [0.748, 0.748, 0.748], [0.000, 0.500, 0.000], [0.500, 0.000, 0.000], [0.000, 0.000, 0.500], [0.380, 0.380, 0.380], [0.620, 0.620, 0.620], [0.000, 0.000, 0.000]]
}

{
  "formula": "FeCuSnS2",
  "functional": "PBE-GGA",
  "state": "relaxed",
  "e_tot_ev_per_atom": -3.9462,
  "lattice": [[-3.093, -1.172, -3.906], [-2.142, -3.254, 2.673], [-3.353, 3.521, 1.599]],
  "species": ["Fe", "Sn", "Cu", "S", "S"],
  "frac_coords": [[0.500, 0.500, 0.500], [0.000, 0.000, 0.000], [0.000, 0.500, 0.000], [0.000, 0.000, 0.500], [0.500, 0.000, 0.000]]
}

{
  "formula": "Fe3CuSn2S8",
  "functional": "PBE-GGA",
  "state": "relaxed",
  "e_tot_ev_per_atom": -5.3714,
  "lattice": [[-0.884, -6.821, -1.873], [5.107, -1.919, 4.589], [-5.631, 3.776, 2.202]],
  "species": ["S", "S", "S", "S", "S", "S", "S", "S", "Fe", "Fe", "Fe", "Cu", "Sn", "Sn"],
  "frac_coords": [[0.146, 0.385, 0.239], [0.602, 0.861, 0.259], [0.594, 0.878, 0.717], [0.158, 0.372, 0.786], [0.146, 0.908, 0.761], [0.586, 0.372, 0.214], [0.161, 0.878, 0.283], [0.602, 0.343, 0.741], [0.376, 0.623, 0.247], [0.995, 0.995, 0.000], [0.376, 0.128, 0.753], [0.759, 0.259, 0.500], [0.378, 0.624, 0.754], [0.870, 0.624, 0.246]]
}

{
  "formula": "ZnFe4Cu10Sn5S20",
  "functional": "PBE-GGA",
  "state": "relaxed",
  "e_tot_ev_per_atom": -4.8250,
  "lattice": [[5.470, 0.000, 0.000], [0.000, 5.470, 0.000], [-2.735, -2.735, 26.907]],
  "species": ["Sn", "Sn", "Sn", "Sn", "Sn", "Cu", "Cu", "Cu", "Cu", "Cu", "Cu", "Cu", "Cu", "Cu", "Cu", "Fe", "Fe", "Fe", "Fe", "S", "S", "S", "S", "S", "S", "S", "S", "S", "S", "S", "S", "S", "S", "S", "S", "S", "S", "S", "S", "Zn"],
  "frac_coords": [[0.501, 0.501, 0.001], [0.900, 0.900, 0.800], [0.700, 0.700, 0.400], [0.100, 0.100, 0.200], [0.299, 0.299, 0.599], [0.750, 0.250, 0.499], [0.550, 0.050, 0.101], [0.849, 0.349, 0.698], [0.250, 0.750, 0.499], [0.050, 0.550, 0.101], [0.650, 0.150, 0.300], [0.349, 0.849, 0.698], [0.951, 0.451, 0.902], [0.150, 0.650, 0.300], [0.451, 0.951, 0.902], [0.200, 0.200, 0.400], [0.000, 0.000, 0.001], [0.600, 0.600, 0.200], [0.800, 0.800, 0.599], [0.186, 0.669, 0.854], [0.208, 0.208, 0.948], [0.006, 0.006, 0.546], [0.060, 0.592, 0.652], [0.614, 0.614, 0.746], [0.259, 0.794, 0.054], [0.341, 0.341, 0.148], [0.394, 0.859, 0.253], [0.669, 0.186, 0.854], [0.859, 0.394, 0.253], [0.941, 0.941, 0.347], [0.807, 0.807, 0.148], [0.406, 0.406, 0.347], [0.541, 0.541, 0.546], [0.459, 0.993, 0.452], [0.740, 0.740, 0.948], [0.131, 0.131, 0.746], [0.794, 0.259, 0.054], [0.592, 0.060, 0.652], [0.993, 0.459, 0.452], [0.400, 0.400, 0.800]]
}

{
  "formula": "SrFe2CuS",
  "functional": "PBE-GGA",
  "state": "relaxed",
  "e_tot_ev_per_atom": -3.2455,
  "lattice": [[4.998, 0.000, 0.000], [0.000, 4.996, 0.000], [0.000, 0.000, 4.998]],
  "species": ["S", "Fe", "Fe", "Sr", "Cu"],
  "frac_coords": [[0.500, 0.500, 0.500], [0.500, 0.000, 0.000], [0.000, 0.000, 0.500], [0.000, 0.000, 0.000], [0.000, 0.500, 0.000]]
}